(1)
Material: NaCeAg2
Method: DFT, PBE
State: relaxed

Calculated formation energy in eV/atom: -0.01
E in eV/atom: -3.25
Distance to the lowest polymorph of the same formula in eV/atom: 0.0000
Space group: P4/mmm
V in Å³ per cell: 95

abc: 3.368 3.368 8.399
angles: 90.00 90.00 90.00
Element x y z (fractional)
Na  0.000  0.000  0.000
Ce  0.000  0.000  0.500
Ag  0.500  0.500  0.243
Ag  0.500  0.500  0.757

(2)
Material: La3H2
Method: DFT, PBE
State: relaxed

E in eV/atom: -4.58
Space group: Pm
V in Å³ per cell: 119

abc: 5.976 3.809 6.019
angles: 90.00 119.37 90.00
Element x y z (fractional)
La  0.000  0.000  0.000
La  0.325  0.500  0.657
La  0.674  0.000  0.333
H  0.096  0.000  0.667
H  0.904  0.500  0.233

(3)
Material: Y8Cd2Tc
Method: DFT, PBE
State: relaxed

Calculated formation energy in eV/atom: -0.10
E in eV/atom: -5.91
Space group: Immm
V in Å³ per cell: 311

abc: 9.228 9.228 9.228
angles: 145.33 135.39 57.70
Element x y z (fractional)
Y  0.133  0.374  0.759
Y  0.193  0.193  0.000
Y  0.241  0.000  0.241
Y  0.385  0.626  0.759
Y  0.615  0.374  0.241
Y  0.759  0.000  0.759
Y  0.807  0.807  0.000
Y  0.867  0.626  0.241
Cd  0.314  0.814  0.500
Cd  0.686  0.186  0.500
Tc  0.000  0.500  0.500

(4)
Material: Cs2RbSr2Cl7
Method: DFT, PBE
State: relaxed

E in eV/atom: -3.80
Space group: C2/m
Raw formation energy in eV per atom: -2.2174
V in Å³ per cell: 468

abc: 5.700 5.700 14.956
angles: 100.98 100.98 89.99
Element x y z (fractional)
Cs  0.180  0.180  0.366
Cs  0.820  0.820  0.634
Rb  0.000  0.000  0.000
Sr  0.401  0.401  0.801
Sr  0.599  0.599  0.199
Cl  0.095  0.595  0.191
Cl  0.298  0.298  0.603
Cl  0.405  0.905  0.809
Cl  0.500  0.500  0.000
Cl  0.595  0.095  0.191
Cl  0.702  0.702  0.397
Cl  0.905  0.405  0.809

(5)
Material: KBe2Se
Method: DFT, PBE
State: relaxed

E in eV/atom: -2.25
Space group: Pmmm
Raw formation energy in eV per atom: 0.7582
V in Å³ per cell: 80

abc: 4.087 4.242 4.621
angles: 90.00 90.00 90.00
Element x y z (fractional)
K  0.000  0.000  0.000
Be  0.000  0.500  0.500
Be  0.500  0.000  0.500
Se  0.500  0.500  0.000

(6)
Material: InCuOs2
Method: DFT, PBE
State: relaxed

Calculated formation energy in eV/atom: 0.69
E in eV/atom: -6.63
Space group: Cmmm
V in Å³ per cell: 62

abc: 4.879 4.879 2.909
angles: 90.00 90.00 115.49
Element x y z (fractional)
In  0.000  0.000  0.000
Cu  0.500  0.500  0.000
Os  0.000  0.500  0.500
Os  0.500  0.000  0.500

> Among the records above, which one has the highest V?

Cs2RbSr2Cl7

> Among the records above, which one has the lowest E?

InCuOs2

> Look up the E of the sixth one.

-6.63 eV/atom